[1]
# PBE CsRb2CaCl5, relaxed
# energy relative to the elements, uncorrected	-1840.5	kJ/mol of formula units
data_CsRb2CaCl5
_chemical_formula_sum 'Cs2 Rb4 Ca2 Cl10'
_symmetry_space_group_name_H-M 'I m m m'
_symmetry_Int_Tables_number 71
_symmetry_space_group_name_Hall '-I 2 2'
_cell_length_a 5.3325
_cell_length_b 7.8154
_cell_length_c 15.7804
_cell_angle_alpha 90.00
_cell_angle_beta 90.00
_cell_angle_gamma 90.00
loop_
_atom_site_label
_atom_site_type_symbol
_atom_site_fract_x
_atom_site_fract_y
_atom_site_fract_z
_atom_site_occupancy
Cs1 Cs 0.0000 0.0000 0.0000 1
Rb1 Rb 0.0000 0.5000 0.2091 1
Ca1 Ca 0.0000 0.0000 0.5000 1
Cl1 Cl 0.0000 0.2425 0.3731 1
Cl2 Cl 0.0000 0.5000 0.0000 1


[2]
# PBE PmMgHg, relaxed
# offset from the most stable computed form	0	meV/atom
# DFT formation energy	-39.6	kJ/mol of atoms
data_PmMgHg
_chemical_formula_sum 'Pm3 Mg3 Hg3'
_symmetry_space_group_name_H-M 'P -6 2 m'
_symmetry_Int_Tables_number 189
_symmetry_space_group_name_Hall 'P -6 -2'
_cell_length_a 7.5465
_cell_length_b 7.5465
_cell_length_c 4.7157
_cell_angle_alpha 90.00
_cell_angle_beta 90.00
_cell_angle_gamma 120.00
loop_
_atom_site_label
_atom_site_type_symbol
_atom_site_fract_x
_atom_site_fract_y
_atom_site_fract_z
_atom_site_occupancy
Pm1 Pm 0.0000 0.4187 0.0000 1
Mg1 Mg 0.0000 0.7595 0.5000 1
Hg1 Hg 0.0000 0.0000 0.0000 1
Hg2 Hg 0.3333 0.6667 0.5000 1


[3]
# PBE KBaFe2, relaxed
# offset from the most stable computed form	26	meV/atom
# DFT formation energy	64.3	kJ/mol of atoms
data_KBaFe2
_chemical_formula_sum 'K1 Ba1 Fe2'
_symmetry_space_group_name_H-M 'P 4 m m'
_symmetry_Int_Tables_number 99
_cell_length_a 3.4518
_cell_length_b 3.4518
_cell_length_c 9.7686
_cell_angle_alpha 90.00
_cell_angle_beta 90.00
_cell_angle_gamma 90.00
loop_
_symmetry_equiv_pos_as_xyz
'x,y,z'
'-y,x,z'
'-x,-y,z'
'y,-x,z'
'-x,y,z'
'y,x,z'
'x,-y,z'
'-y,-x,z'
loop_
_atom_site_label
_atom_site_type_symbol
_atom_site_fract_x
_atom_site_fract_y
_atom_site_fract_z
_atom_site_occupancy
K1 K 0.0000 0.0000 0.0000 1
Ba1 Ba 0.5000 0.5000 0.4205 1
Fe1 Fe 0.0000 0.0000 0.6641 1
Fe2 Fe 0.5000 0.5000 0.7336 1


[4]
# PBE YMg2TeSe, relaxed
# energy relative to the elements, uncorrected	113.6	kJ/mol of formula units
data_YMg2TeSe
_chemical_formula_sum 'Y1 Mg2 Te1 Se1'
_symmetry_space_group_name_H-M 'P 4/m m m'
_symmetry_Int_Tables_number 123
_symmetry_space_group_name_Hall '-P 4 2'
_cell_length_a 5.2786
_cell_length_b 5.2786
_cell_length_c 5.8504
_cell_angle_alpha 90.00
_cell_angle_beta 90.00
_cell_angle_gamma 90.00
loop_
_atom_site_label
_atom_site_type_symbol
_atom_site_fract_x
_atom_site_fract_y
_atom_site_fract_z
_atom_site_occupancy
Y1 Y 0.0000 0.0000 0.0000 1
Mg1 Mg 0.0000 0.5000 0.5000 1
Te1 Te 0.5000 0.5000 0.5000 1
Se1 Se 0.5000 0.5000 0.0000 1


[5]
# PBE BaGa3Os, relaxed
# offset from the most stable computed form	245	meV/atom
# DFT formation energy	-14.8	kJ/mol of atoms
data_BaGa3Os
_chemical_formula_sum 'Ba2 Ga6 Os2'
_symmetry_space_group_name_H-M 'P m m a'
_symmetry_Int_Tables_number 51
_cell_length_a 8.2882
_cell_length_b 6.4589
_cell_length_c 4.8056
_cell_angle_alpha 90.00
_cell_angle_beta 90.00
_cell_angle_gamma 90.00
loop_
_symmetry_equiv_pos_as_xyz
'x,y,z'
'-x,-y,-z'
'-x+1/2,-y,z'
'x+1/2,y,-z'
'x+1/2,-y,-z'
'-x+1/2,y,z'
'-x,y,-z'
'x,-y,z'
loop_
_atom_site_label
_atom_site_type_symbol
_atom_site_fract_x
_atom_site_fract_y
_atom_site_fract_z
_atom_site_occupancy
Ba1 Ba 0.2500 0.0000 0.0088 1
Ga1 Ga 0.0000 0.2780 0.5000 1
Ga2 Ga 0.2500 0.5000 0.9865 1
Os1 Os 0.2500 0.5000 0.4863 1


[6]
# PBE YZrVSb2, relaxed
# energy relative to the elements, uncorrected	205.3	kJ/mol of formula units
data_YZrVSb2
_chemical_formula_sum 'Y1 Zr1 V1 Sb2'
_symmetry_space_group_name_H-M 'P 4/m m m'
_symmetry_Int_Tables_number 123
_symmetry_space_group_name_Hall '-P 4 2'
_cell_length_a 5.1668
_cell_length_b 5.1668
_cell_length_c 4.8101
_cell_angle_alpha 90.00
_cell_angle_beta 90.00
_cell_angle_gamma 90.00
loop_
_atom_site_label
_atom_site_type_symbol
_atom_site_fract_x
_atom_site_fract_y
_atom_site_fract_z
_atom_site_occupancy
Y1 Y 0.0000 0.0000 0.0000 1
Zr1 Zr 0.5000 0.5000 0.0000 1
V1 V 0.0000 0.0000 0.5000 1
Sb1 Sb 0.0000 0.5000 0.5000 1


[7]
# PBE Sr2CoRu, relaxed
# DFT formation energy	91.3	kJ/mol of atoms
data_Sr2CoRu
_chemical_formula_sum 'Sr6 Co3 Ru3'
_symmetry_space_group_name_H-M 'R -3 m'
_symmetry_Int_Tables_number 166
_symmetry_space_group_name_Hall '-R 3 2"'
_cell_length_a 3.5182
_cell_length_b 3.5182
_cell_length_c 27.3820
_cell_angle_alpha 90.00
_cell_angle_beta 90.00
_cell_angle_gamma 120.00
loop_
_atom_site_label
_atom_site_type_symbol
_atom_site_fract_x
_atom_site_fract_y
_atom_site_fract_z
_atom_site_occupancy
Sr1 Sr 0.0000 0.0000 0.2483 1
Co1 Co 0.0000 0.0000 0.0000 1
Ru1 Ru 0.0000 0.0000 0.5000 1


[8]
# PBE AlCrAgOs2, relaxed
# DFT formation energy	144.5	kJ/mol of atoms
data_AlCrAgOs2
_chemical_formula_sum 'Al1 Cr1 Ag1 Os2'
_symmetry_space_group_name_H-M 'P 4/m m m'
_symmetry_Int_Tables_number 123
_symmetry_space_group_name_Hall '-P 4 2'
_cell_length_a 4.4163
_cell_length_b 4.4163
_cell_length_c 4.7798
_cell_angle_alpha 90.00
_cell_angle_beta 90.00
_cell_angle_gamma 90.00
loop_
_atom_site_label
_atom_site_type_symbol
_atom_site_fract_x
_atom_site_fract_y
_atom_site_fract_z
_atom_site_occupancy
Al1 Al 0.0000 0.0000 0.0000 1
Cr1 Cr 0.5000 0.5000 0.5000 1
Ag1 Ag 0.5000 0.5000 0.0000 1
Os1 Os 0.0000 0.5000 0.5000 1


[9]
# PBE CaSm7Tl4, relaxed
# DFT formation energy	-3.9	kJ/mol of atoms
data_CaSm7Tl4
_chemical_formula_sum 'Ca2 Sm14 Tl8'
_symmetry_space_group_name_H-M 'C 1 2/m 1'
_symmetry_Int_Tables_number 12
_cell_length_a 14.7487
_cell_length_b 5.8619
_cell_length_c 10.5973
_cell_angle_alpha 90.00
_cell_angle_beta 123.22
_cell_angle_gamma 90.00
loop_
_symmetry_equiv_pos_as_xyz
'x,y,z'
'-x,-y,-z'
'-x,y,-z'
'x,-y,z'
'x+1/2,y+1/2,z'
'-x+1/2,-y+1/2,-z'
'-x+1/2,y+1/2,-z'
'x+1/2,-y+1/2,z'
loop_
_atom_site_label
_atom_site_type_symbol
_atom_site_fract_x
_atom_site_fract_y
_atom_site_fract_z
_atom_site_occupancy
Ca1 Ca 0.0000 0.0000 0.0000 1
Sm1 Sm 0.0000 0.5000 0.0000 1
Sm2 Sm 0.0613 0.0000 0.3964 1
Sm3 Sm 0.2085 0.0000 0.8793 1
Sm4 Sm 0.2235 0.5000 0.6581 1
Tl1 Tl 0.0606 0.5000 0.7516 1
Tl2 Tl 0.1854 0.5000 0.3314 1


[10]
# PBE ReAs2P, relaxed
# DFT formation energy	12.3	kJ/mol of atoms
data_ReAs2P
_chemical_formula_sum 'Re1 As2 P1'
_symmetry_space_group_name_H-M 'P 4 m m'
_symmetry_Int_Tables_number 99
_cell_length_a 3.0829
_cell_length_b 3.0829
_cell_length_c 7.2436
_cell_angle_alpha 90.00
_cell_angle_beta 90.00
_cell_angle_gamma 90.00
loop_
_symmetry_equiv_pos_as_xyz
'x,y,z'
'-y,x,z'
'-x,-y,z'
'y,-x,z'
'-x,y,z'
'y,x,z'
'x,-y,z'
'-y,-x,z'
loop_
_atom_site_label
_atom_site_type_symbol
_atom_site_fract_x
_atom_site_fract_y
_atom_site_fract_z
_atom_site_occupancy
Re1 Re 0.0000 0.0000 0.0000 1
As1 As 0.0000 0.0000 0.6198 1
As2 As 0.5000 0.5000 0.2234 1
P1 P 0.5000 0.5000 0.8199 1


[11]
# PBE Er2ThHg, relaxed
# offset from the most stable computed form	125	meV/atom
# DFT formation energy	-12.2	kJ/mol of atoms
data_Er2ThHg
_chemical_formula_sum 'Er6 Th3 Hg3'
_symmetry_space_group_name_H-M 'R 3 m'
_symmetry_Int_Tables_number 160
_symmetry_space_group_name_Hall 'R 3 -2"'
_cell_length_a 3.5853
_cell_length_b 3.5853
_cell_length_c 31.6930
_cell_angle_alpha 90.00
_cell_angle_beta 90.00
_cell_angle_gamma 120.00
loop_
_atom_site_label
_atom_site_type_symbol
_atom_site_fract_x
_atom_site_fract_y
_atom_site_fract_z
_atom_site_occupancy
Er1 Er 0.0000 0.0000 0.0000 1
Er2 Er 0.0000 0.0000 0.1836 1
Th1 Th 0.0000 0.0000 0.7582 1
Hg1 Hg 0.0000 0.0000 0.5920 1


[12]
# PBE NaCeSc4O8, relaxed
# energy relative to the elements, uncorrected	-4297.8	kJ/mol of formula units
data_NaCeSc4O8
_chemical_formula_sum 'Na3 Ce3 Sc12 O24'
_symmetry_space_group_name_H-M 'R 3 m'
_symmetry_Int_Tables_number 160
_symmetry_space_group_name_Hall 'R 3 -2"'
_cell_length_a 6.4234
_cell_length_b 6.4234
_cell_length_c 16.4764
_cell_angle_alpha 90.00
_cell_angle_beta 90.00
_cell_angle_gamma 120.00
loop_
_atom_site_label
_atom_site_type_symbol
_atom_site_fract_x
_atom_site_fract_y
_atom_site_fract_z
_atom_site_occupancy
Na1 Na 0.0000 0.0000 0.0000 1
Ce1 Ce 0.0000 0.0000 0.6252 1
Sc1 Sc 0.0000 0.0000 0.2474 1
Sc2 Sc 0.1722 0.3444 0.4564 1
O1 O 0.0000 0.0000 0.3791 1
O2 O 0.0000 0.0000 0.8564 1
O3 O 0.0391 0.5196 0.3874 1
O4 O 0.1695 0.3389 0.1998 1


[13]
# PBE SrTaGa2Cu, relaxed
# DFT formation energy	204.8	kJ/mol of atoms
data_SrTaGa2Cu
_chemical_formula_sum 'Sr1 Ta1 Ga2 Cu1'
_symmetry_space_group_name_H-M 'P 4/m m m'
_symmetry_Int_Tables_number 123
_symmetry_space_group_name_Hall '-P 4 2'
_cell_length_a 5.5063
_cell_length_b 5.5063
_cell_length_c 5.2303
_cell_angle_alpha 90.00
_cell_angle_beta 90.00
_cell_angle_gamma 90.00
loop_
_atom_site_label
_atom_site_type_symbol
_atom_site_fract_x
_atom_site_fract_y
_atom_site_fract_z
_atom_site_occupancy
Sr1 Sr 0.0000 0.0000 0.0000 1
Ta1 Ta 0.0000 0.0000 0.5000 1
Ga1 Ga 0.0000 0.5000 0.0000 1
Cu1 Cu 0.5000 0.5000 0.5000 1


| no. | Fermi-level density of states (states/eV per atom) |
| --- | --- |
| 1 | 0.000 |
| 2 | 0.902 |
| 3 | 1.168 |
| 4 | 0.826 |
| 5 | 0.536 |
| 6 | 1.270 |
| 7 | 1.685 |
| 8 | 1.239 |
| 9 | 1.095 |
| 10 | 0.342 |
| 11 | 1.588 |
| 12 | 0.368 |
| 13 | 1.167 |